(1)
The following is a PBE calculation of a relaxed structure of CsHfGe3, from Alexandria via LeMat-Bulk.

```
CsHfGe3
1.0
-0.911 -4.619 2.642
4.245 0.986 3.186
-3.209 2.615 3.465
Ge Cs Hf
3 1 1
Cartesian
2.122 0.493 1.593
-1.604 1.308 1.733
-0.455 -2.309 1.321
0.000 0.000 0.000
0.063 -0.509 4.647
```

Results
Symmetry = Pm-3m (221)
ΔE to the lowest computed polymorph = 1982.9 meV/atom

(2)
The following is a PBE calculation of a relaxed structure of NdSm2Y3Er6, from Alexandria via LeMat-Bulk.

```
NdSm2Y3Er6
1.0
-1.391 2.078 -5.637
-3.885 -3.787 2.930
-3.613 9.699 5.589
Er Sm Y Nd
6 2 3 1
Cartesian
-6.237 6.957 0.728
-1.820 2.989 -0.703
-4.871 1.156 -0.627
-7.069 5.001 3.585
-4.017 6.833 3.509
-2.651 1.032 2.154
-2.222 0.123 -2.781
-3.053 -1.832 0.074
-5.275 2.040 4.296
-4.444 3.995 1.441
-3.613 5.949 -1.414
0.000 0.000 0.000
```

Results
Symmetry = C2/m (12)
DFT total energy = -60.7 eV/cell

(3)
The following is a PBE calculation of a relaxed structure of Tm6Sb3Pb, from Alexandria via LeMat-Bulk.

```
Tm6Sb3Pb
1.0
-4.871 -0.026 -5.648
-6.883 -1.150 5.942
1.032 9.059 -0.933
Tm Sb Pb
12 6 2
Cartesian
-7.196 0.023 -1.273
-6.636 5.862 -0.693
-3.099 2.026 1.199
-9.599 3.271 0.784
-4.641 3.166 -2.401
-8.089 -1.105 4.463
-1.214 4.611 -1.529
-2.689 8.987 -5.166
-3.617 7.859 0.528
-3.865 6.553 -2.696
-5.484 1.337 3.649
-5.093 4.723 2.907
-3.889 4.790 0.060
-7.633 3.088 -1.627
-8.810 7.389 -2.131
-5.125 2.409 -5.285
-7.879 5.461 2.000
-4.195 0.481 -1.154
-0.403 7.232 0.276
-7.920 0.664 1.866
```

Results
Energy relative to the elements, uncorrected = -618 meV per atom
Symmetry = Cmc2_1 (36)